{
  "formula": "NdSm2Pu",
  "functional": "GGA-PBE",
  "state": "relaxed",
  "space_group": "R-3m (166)",
  "ef_ev_per_atom": 0.273,
  "polymorph_energy_ev_per_atom": 0.160,
  "energy_ev_per_cell": -27.45,
  "cell": [[3.5112, 0.0000, 0.0000], [1.7556, 3.0408, 0.0000], [1.7556, 1.0136, 12.4831]],
  "species": ["Nd", "Sm", "Sm", "Pu"],
  "fractional_positions": [[0.5000, 0.5000, 0.5000], [0.0873, 0.0873, 0.7380], [0.9127, 0.9127, 0.2620], [0.0000, 0.0000, 0.0000]]
}